Computed, not measured: an optimized crystal structure of SrTeAu at the PBE level of DFT.

a = 4.759 Å, b = 4.759 Å, c = 4.600 Å
α = 90.00°, β = 90.00°, γ = 120.00°
Fractional coordinates of all 3 atoms:
Au1 0.000 0.000 0.934
Sr1 0.667 0.333 0.305
Te1 0.333 0.667 0.761

Results
* formation energy from raw total energies: -2.55 eV/f.u.
* energy relative to the lowest polymorph listed for this composition: 125 meV/atom